## YTm2Au (PBE)

Data for a relaxed YTm2Au crystal.

a b c (Å): 6.928 9.637 6.610
angles (deg): 90.00 90.00 90.00
Element x y z (fractional)
Y 0.010 0.250 0.115
Y 0.490 0.750 0.615
Y 0.510 0.250 0.385
Y 0.990 0.750 0.885
Tm 0.196 0.055 0.695
Tm 0.196 0.445 0.695
Tm 0.304 0.555 0.195
Tm 0.304 0.945 0.195
Tm 0.696 0.055 0.805
Tm 0.696 0.445 0.805
Tm 0.804 0.555 0.305
Tm 0.804 0.945 0.305
Au 0.087 0.750 0.455
Au 0.413 0.250 0.955
Au 0.587 0.750 0.045
Au 0.913 0.250 0.545

Results
**Energy of formation from the pure elements**: -466 meV per atom
**Electronic total energy**: -82.19 eV per cell
**E above lowest polymorph**: 0.000 eV/f.u.


## SrBe3Br (PBE)

Data for a relaxed SrBe3Br crystal.

a b c (Å): 6.062 6.062 6.062
angles (deg): 90.00 90.00 90.00
Element x y z (fractional)
Sr 0.000 0.000 0.000
Be 0.000 0.000 0.500
Be 0.000 0.500 0.000
Be 0.500 0.000 0.000
Br 0.500 0.500 0.500

Results
**Energy relative to the elements, uncorrected**: 8.7 eV/f.u.
**Electronic total energy**: -5.79 eV per cell
**E above lowest polymorph**: 2.947 eV/f.u.